[1]
Computed, not measured: a relaxed structure of TbDy2Y7 at the GGA-PBE level of DFT.

The value obtained for the excess energy over the best structure of this formula in the dataset is 4.87 eV/f.u. The spin magnetization comes out at 0.0000 μB per atom. As for the formation energy: 0.70 eV per atom.

The space group is Cmmm (No. 65) and the conventional cell measures 8.806, 16.016 and 5.615 Å, with angles of 90.00, 90.00 and 90.00 degrees. The asymmetric unit holds Tb at (0.000, 0.000, 0.000), Dy at (0.000, 0.296, 0.500), Y at (0.000, 0.219, 0.000), Y at (0.000, 0.500, 0.500) and Y at (0.177, 0.115, 0.500).


[2]
Computed, not measured: a relaxed structure of Tb4DyY4 at the GGA-PBE level of DFT.

The value obtained for the excess energy over the best structure of this formula in the dataset is 0.00 eV/f.u. The spin magnetization comes out at 0.0000 μB per atom. As for the formation energy: 0.02 eV per atom.

The space group is I4/mmm (No. 139) and the conventional cell measures 10.697, 10.697 and 5.032 Å, with angles of 90.00, 90.00 and 90.00 degrees. The asymmetric unit holds Tb at (0.000, 0.334, 0.000), Dy at (0.000, 0.000, 0.000) and Y at (0.166, 0.166, 0.500).


[3]
Computed, not measured: a relaxed structure of Tb6Dy19Y4 at the GGA-PBE level of DFT.

The spin magnetization comes out at 0.0000 μB per atom. As for the formation energy: 0.39 eV per atom.

The space group is I23 (No. 197) and the conventional cell measures 12.441, 12.441 and 12.441 Å, with angles of 90.00, 90.00 and 90.00 degrees. The asymmetric unit holds Tb at (0.000, 0.127, 0.500), Dy at (0.000, 0.000, 0.000), Dy at (0.000, 0.000, 0.260), Dy at (0.063, 0.278, 0.739) and Y at (0.179, 0.179, 0.179).


[4]
Computed, not measured: a relaxed structure of Tb8Dy6Y at the GGA-PBE level of DFT.

The value obtained for the excess energy over the best structure of this formula in the dataset is 0.00 eV/f.u. The spin magnetization comes out at 0.0000 μB per atom. As for the formation energy: 0.13 eV per atom.

The space group is R-3 (No. 148, hexagonal axes) and the conventional cell measures 9.0356, 9.0356 and 20.6110 Å, with angles of 90.00, 90.00 and 120.00 degrees. The asymmetric unit holds Tb at (0.0000, 0.0000, 0.0769), Tb at (0.0815, 0.5284, 0.3079), Dy at (0.0583, 0.8119, 0.2073) and Y at (0.0000, 0.0000, 0.5000).


[5]
Computed, not measured: a relaxed structure of Tb12Dy7Y at the GGA-PBE level of DFT.

The value obtained for the excess energy over the best structure of this formula in the dataset is 0.00 eV/f.u. The spin magnetization comes out at 0.0000 μB per atom. As for the formation energy: 0.29 eV per atom.

The space group is R-3 (No. 148, hexagonal axes) and the conventional cell measures 12.8125, 12.8125 and 13.7223 Å, with angles of 90.00, 90.00 and 120.00 degrees. The asymmetric unit holds Tb at (0.0008, 0.5650, 0.2493), Tb at (0.0683, 0.2002, 0.8481), Dy at (0.0000, 0.0000, 0.0000), Dy at (0.0684, 0.8684, 0.3465) and Y at (0.0000, 0.0000, 0.5000).


[6]
Computed, not measured: a relaxed structure of Tb4Dy6Y19 at the GGA-PBE level of DFT.

The spin magnetization comes out at 0.0001 μB per atom. As for the formation energy: 0.38 eV per atom.

The space group is I23 (No. 197) and the conventional cell measures 12.474, 12.474 and 12.474 Å, with angles of 90.00, 90.00 and 90.00 degrees. The asymmetric unit holds Tb at (0.179, 0.179, 0.179), Dy at (0.000, 0.124, 0.500), Y at (0.000, 0.000, 0.000), Y at (0.000, 0.000, 0.260) and Y at (0.062, 0.279, 0.735).


[7]
Computed, not measured: a relaxed structure of Tb2Dy2Y at the GGA-PBE level of DFT.

The value obtained for the excess energy over the best structure of this formula in the dataset is 2.16 eV/f.u. The spin magnetization comes out at 0.0000 μB per atom. As for the formation energy: 0.51 eV per atom.

The space group is I4/mmm (No. 139) and the conventional cell measures 5.880, 5.880 and 9.585 Å, with angles of 90.00, 90.00 and 90.00 degrees. The asymmetric unit holds Tb at (0.000, 0.500, 0.250), Dy at (0.000, 0.000, 0.147) and Y at (0.000, 0.000, 0.500).


[8]
Computed, not measured: a relaxed structure of TbDy2Y2 at the GGA-PBE level of DFT.

The value obtained for the excess energy over the best structure of this formula in the dataset is 0.17 eV/f.u. The spin magnetization comes out at 0.0000 μB per atom. As for the formation energy: 0.13 eV per atom.

The space group is P2_1/c (No. 14) and the conventional cell measures 12.040, 9.635 and 5.779 Å, with angles of 90.00, 103.85 and 90.00 degrees. The asymmetric unit holds Tb at (0.202, 0.168, 0.359), Dy at (0.069, 0.000, 0.785), Dy at (0.349, 0.000, 0.925), Y at (0.202, 0.665, 0.844) and Y at (0.500, 0.167, 0.487).


[9]
Computed, not measured: a relaxed structure of Tb3Dy2Y7 at the GGA-PBE level of DFT.

The value obtained for the excess energy over the best structure of this formula in the dataset is 2.69 eV/f.u. The spin magnetization comes out at 0.0000 μB per atom. As for the formation energy: 0.31 eV per atom.

The space group is P2/m (No. 10) and the conventional cell measures 6.175, 5.568 and 12.057 Å, with angles of 90.00, 92.41 and 90.00 degrees. The asymmetric unit holds Tb at (0.000, 0.000, 0.000), Tb at (0.451, 0.500, 0.335), Dy at (0.116, 0.000, 0.280), Y at (0.057, 0.500, 0.821), Y at (0.265, 0.000, 0.550), Y at (0.412, 0.000, 0.835) and Y at (0.500, 0.500, 0.000).


[10]
Computed, not measured: a relaxed structure of Tb5Dy2Y3 at the GGA-PBE level of DFT.

The spin magnetization comes out at 0.0000 μB per atom. As for the formation energy: 0.20 eV per atom.

The space group is C2/c (No. 15) and the conventional cell measures 10.680, 15.649 and 9.548 Å, with angles of 90.00, 123.99 and 90.00 degrees. The asymmetric unit holds Tb at (0.000, 0.023, 0.250), Tb at (0.000, 0.221, 0.250), Tb at (0.000, 0.277, 0.750), Tb at (0.238, 0.134, 0.725), Dy at (0.144, 0.369, 0.549), Y at (0.000, 0.483, 0.750) and Y at (0.153, 0.127, 0.045).


[11]
Computed, not measured: a relaxed structure of Tb4Dy6Y at the GGA-PBE level of DFT.

The value obtained for the excess energy over the best structure of this formula in the dataset is 1.37 eV/f.u. The spin magnetization comes out at 0.0000 μB per atom. As for the formation energy: 0.43 eV per atom.

The space group is I-42m (No. 121) and the conventional cell measures 7.587, 7.587 and 13.113 Å, with angles of 90.00, 90.00 and 90.00 degrees. The asymmetric unit holds Tb at (0.168, 0.168, 0.423), Dy at (0.000, 0.500, 0.000), Dy at (0.240, 0.240, 0.186) and Y at (0.000, 0.000, 0.000).


[12]
Computed, not measured: a relaxed structure of Tb5DyY8 at the GGA-PBE level of DFT.

The spin magnetization comes out at 0.0000 μB per atom. As for the formation energy: 0.25 eV per atom.

The space group is I-4 (No. 82) and the conventional cell measures 9.578, 9.578 and 10.125 Å, with angles of 90.00, 90.00 and 90.00 degrees. The asymmetric unit holds Tb at (0.000, 0.000, 0.000), Tb at (0.110, 0.212, 0.575), Dy at (0.000, 0.500, 0.250), Y at (0.071, 0.323, 0.904) and Y at (0.085, 0.175, 0.247).